1.
# CdAgOs2, relaxed, DFT GGA-PBE
# - ΔH_f (0 K) (eV per atom) = 0.33
# - D(E_F) (states/eV per cell) = 4.8
# - raw total energy (eV per atom) = -6.223
# - calculated density (g cm⁻³) = 15.093
data_CdAgOs2
_space_group_name_H-M_alt 'P 1'
_space_group_IT_number 1
_cell_length_a 9.753
_cell_length_b 9.753
_cell_length_c 9.753
_cell_angle_alpha 16.61
_cell_angle_beta 16.61
_cell_angle_gamma 16.61
loop_
_space_group_symop_operation_xyz
'x,y,z'
loop_
_atom_site_label
_atom_site_type_symbol
_atom_site_fract_x
_atom_site_fract_y
_atom_site_fract_z
Ag1 Ag 0.504 0.504 0.504
Cd1 Cd 0.747 0.747 0.747
Os1 Os 0.256 0.256 0.256
Os2 Os 0.993 0.993 0.993

***

2.
# Ga2CuTeO8, relaxed, DFT GGA-PBE
# - E_form (uncorrected) (eV/atom) = -0.7788
# - D(E_F) (states/eV per cell) = 10.0
# - raw total energy (eV per atom) = -5.192
# - calculated density (g cm⁻³) = 5.670
data_Ga2CuTeO8
_space_group_name_H-M_alt 'P 1'
_space_group_IT_number 1
_cell_length_a 5.596
_cell_length_b 5.596
_cell_length_c 5.596
_cell_angle_alpha 111.71
_cell_angle_beta 111.71
_cell_angle_gamma 105.09
loop_
_space_group_symop_operation_xyz
'x,y,z'
loop_
_atom_site_label
_atom_site_type_symbol
_atom_site_fract_x
_atom_site_fract_y
_atom_site_fract_z
O1 O 0.496 0.695 0.801
O2 O 0.305 0.106 0.801
O3 O 0.725 0.036 0.689
O4 O 0.894 0.695 0.199
O5 O 0.964 0.275 0.311
O6 O 0.964 0.654 0.689
O7 O 0.305 0.504 0.199
O8 O 0.346 0.036 0.311
Cu1 Cu 0.000 0.000 0.000
Ga1 Ga 0.500 0.500 0.000
Ga2 Ga 0.750 0.250 0.500
Te1 Te 0.250 0.750 0.500

***

3.
# Tb3Nd2YAs6, relaxed, DFT GGA-PBE
# - ΔH_f (0 K) (eV per atom) = -1.53
# - D(E_F) (states/eV per cell) = 1.8
# - raw total energy (eV per atom) = -6.344
# - calculated density (g cm⁻³) = 6.976
data_Tb3Nd2YAs6
_space_group_name_H-M_alt 'P 1'
_space_group_IT_number 1
_cell_length_a 4.184
_cell_length_b 8.363
_cell_length_c 9.350
_cell_angle_alpha 102.93
_cell_angle_beta 102.93
_cell_angle_gamma 90.00
loop_
_space_group_symop_operation_xyz
'x,y,z'
loop_
_atom_site_label
_atom_site_type_symbol
_atom_site_fract_x
_atom_site_fract_y
_atom_site_fract_z
Y1 Y 0.500 0.000 0.000
As1 As 0.335 0.412 0.670
As2 As 0.998 0.248 0.995
As3 As 0.665 0.588 0.330
As4 As 0.666 0.077 0.332
As5 As 0.334 0.923 0.668
As6 As 0.002 0.752 0.005
Nd1 Nd 0.166 0.332 0.332
Nd2 Nd 0.834 0.668 0.668
Tb1 Tb 0.833 0.166 0.666
Tb2 Tb 0.167 0.834 0.334
Tb3 Tb 0.500 0.500 0.000

***

4.
# CeHo2Bi, relaxed, DFT GGA-PBE
# - ΔH_f (0 K) (eV per atom) = -0.33
# - D(E_F) (states/eV per cell) = 7.3
# - offset from the most stable computed form (meV per atom) = 0
# - raw total energy (eV per atom) = -5.070
# - calculated density (g cm⁻³) = 9.906
data_CeHo2Bi
_space_group_name_H-M_alt 'P 1'
_space_group_IT_number 1
_cell_length_a 4.708
_cell_length_b 4.916
_cell_length_c 4.916
_cell_angle_alpha 90.00
_cell_angle_beta 90.00
_cell_angle_gamma 90.00
loop_
_space_group_symop_operation_xyz
'x,y,z'
loop_
_atom_site_label
_atom_site_type_symbol
_atom_site_fract_x
_atom_site_fract_y
_atom_site_fract_z
Bi1 Bi 0.500 0.000 0.000
Ho1 Ho 0.000 0.000 0.500
Ho2 Ho 0.000 0.500 0.000
Ce1 Ce 0.500 0.500 0.500

***

5.
# NaAg4Se2, relaxed, DFT GGA-PBE
# - E_form (uncorrected) (eV/atom) = -0.2523
# - D(E_F) (states/eV per cell) = 2.4
# - offset from the most stable computed form (meV per atom) = 0
# - raw total energy (eV per atom) = -3.066
# - calculated density (g cm⁻³) = 6.764
data_NaAg4Se2
_space_group_name_H-M_alt 'P 1'
_space_group_IT_number 1
_cell_length_a 4.242
_cell_length_b 8.419
_cell_length_c 8.419
_cell_angle_alpha 90.00
_cell_angle_beta 90.00
_cell_angle_gamma 90.00
loop_
_space_group_symop_operation_xyz
'x,y,z'
loop_
_atom_site_label
_atom_site_type_symbol
_atom_site_fract_x
_atom_site_fract_y
_atom_site_fract_z
Se1 Se 0.500 0.692 0.692
Se2 Se 0.000 0.192 0.808
Se3 Se 0.500 0.308 0.308
Se4 Se 0.000 0.808 0.192
Ag1 Ag 0.500 0.404 0.854
Ag2 Ag 0.500 0.596 0.146
Ag3 Ag 0.000 0.354 0.096
Ag4 Ag 0.500 0.146 0.596
Ag5 Ag 0.000 0.096 0.354
Ag6 Ag 0.000 0.904 0.646
Ag7 Ag 0.000 0.646 0.904
Ag8 Ag 0.500 0.854 0.404
Na1 Na 0.500 0.000 0.000
Na2 Na 0.000 0.500 0.500

***

6.
# Tl3SiTe3, relaxed, DFT GGA-PBE
# - E_form (uncorrected) (eV/atom) = -0.2736
# - offset from the most stable computed form (meV per atom) = 0
# - raw total energy (eV per atom) = -3.409
# - calculated density (g cm⁻³) = 6.825
data_Tl3SiTe3
_space_group_name_H-M_alt 'P 1'
_space_group_IT_number 1
_cell_length_a 9.682
_cell_length_b 9.897
_cell_length_c 10.661
_cell_angle_alpha 89.18
_cell_angle_beta 96.47
_cell_angle_gamma 100.95
loop_
_space_group_symop_operation_xyz
'x,y,z'
loop_
_atom_site_label
_atom_site_type_symbol
_atom_site_fract_x
_atom_site_fract_y
_atom_site_fract_z
Tl1 Tl 0.486 0.372 0.354
Tl2 Tl 0.646 0.775 0.085
Tl3 Tl 0.354 0.225 0.915
Tl4 Tl 0.514 0.628 0.646
Tl5 Tl 0.887 0.959 0.649
Tl6 Tl 0.099 0.432 0.659
Tl7 Tl 0.189 0.843 0.837
Tl8 Tl 0.685 0.287 0.761
Tl9 Tl 0.901 0.568 0.341
Tl10 Tl 0.315 0.713 0.239
Tl11 Tl 0.113 0.041 0.351
Tl12 Tl 0.811 0.157 0.163
Te1 Te 0.425 0.065 0.218
Te2 Te 0.676 0.799 0.407
Te3 Te 0.002 0.792 0.108
Te4 Te 0.324 0.201 0.593
Te5 Te 0.308 0.557 0.924
Te6 Te 0.226 0.778 0.527
Te7 Te 0.874 0.618 0.752
Te8 Te 0.692 0.443 0.076
Te9 Te 0.774 0.222 0.473
Te10 Te 0.998 0.208 0.892
Te11 Te 0.575 0.935 0.782
Te12 Te 0.126 0.382 0.248
Si1 Si 0.913 0.570 0.986
Si2 Si 0.574 0.017 0.418
Si3 Si 0.087 0.430 0.014
Si4 Si 0.426 0.983 0.582

***

7.
# CsCa2Ge2, relaxed, DFT GGA-PBE
# - ΔH_f (0 K) (eV per atom) = -0.28
# - D(E_F) (states/eV per cell) = 4.1
# - offset from the most stable computed form (meV per atom) = 0
# - raw total energy (eV per atom) = -3.095
# - calculated density (g cm⁻³) = 4.028
data_CsCa2Ge2
_space_group_name_H-M_alt 'P 1'
_space_group_IT_number 1
_cell_length_a 9.422
_cell_length_b 9.422
_cell_length_c 3.328
_cell_angle_alpha 90.00
_cell_angle_beta 90.00
_cell_angle_gamma 90.00
loop_
_space_group_symop_operation_xyz
'x,y,z'
loop_
_atom_site_label
_atom_site_type_symbol
_atom_site_fract_x
_atom_site_fract_y
_atom_site_fract_z
Ca1 Ca 0.629 0.129 0.000
Ca2 Ca 0.129 0.371 0.000
Ca3 Ca 0.371 0.871 0.000
Ca4 Ca 0.871 0.629 0.000
Ge1 Ge 0.166 0.666 0.500
Ge2 Ge 0.834 0.334 0.500
Ge3 Ge 0.666 0.834 0.500
Ge4 Ge 0.334 0.166 0.500
Cs1 Cs 0.500 0.500 0.000
Cs2 Cs 0.000 0.000 0.000

***

8.
# GdYHo, relaxed, DFT GGA-PBE
# - ΔH_f (0 K) (eV per atom) = 0.06
# - D(E_F) (states/eV per cell) = 5.5
# - offset from the most stable computed form (meV per atom) = 34
# - raw total energy (eV per atom) = -8.316
# - calculated density (g cm⁻³) = 7.117
data_GdYHo
_space_group_name_H-M_alt 'P 1'
_space_group_IT_number 1
_cell_length_a 3.497
_cell_length_b 5.628
_cell_length_c 5.628
_cell_angle_alpha 120.00
_cell_angle_beta 90.00
_cell_angle_gamma 90.00
loop_
_space_group_symop_operation_xyz
'x,y,z'
loop_
_atom_site_label
_atom_site_type_symbol
_atom_site_fract_x
_atom_site_fract_y
_atom_site_fract_z
Ho1 Ho 0.168 0.667 0.333
Gd1 Gd 0.166 0.000 0.000
Y1 Y 0.667 0.333 0.667

***

9.
# TaAg2GeBr, relaxed, DFT GGA-PBE
# - E_form (uncorrected) (eV/atom) = 1.3332
# - D(E_F) (states/eV per cell) = 3.3
# - raw total energy (eV per atom) = -3.436
# - calculated density (g cm⁻³) = 7.444
data_TaAg2GeBr
_space_group_name_H-M_alt 'P 1'
_space_group_IT_number 1
_cell_length_a 5.044
_cell_length_b 4.815
_cell_length_c 5.044
_cell_angle_alpha 90.00
_cell_angle_beta 90.00
_cell_angle_gamma 90.00
loop_
_space_group_symop_operation_xyz
'x,y,z'
loop_
_atom_site_label
_atom_site_type_symbol
_atom_site_fract_x
_atom_site_fract_y
_atom_site_fract_z
Ta1 Ta 0.000 0.500 0.000
Ag1 Ag 0.500 0.000 0.000
Ag2 Ag 0.000 0.000 0.500
Br1 Br 0.000 0.000 0.000
Ge1 Ge 0.500 0.500 0.500

***

10.
# BaLi2InH, relaxed, DFT GGA-PBE
# - D(E_F) (states/eV per cell) = 2.2
# - offset from the most stable computed form (meV per atom) = 591
# - raw total energy (eV per atom) = -1.898
# - calculated density (g cm⁻³) = 2.704
data_BaLi2InH
_space_group_name_H-M_alt 'P 1'
_space_group_IT_number 1
_cell_length_a 6.118
_cell_length_b 4.382
_cell_length_c 6.118
_cell_angle_alpha 90.00
_cell_angle_beta 90.00
_cell_angle_gamma 90.00
loop_
_space_group_symop_operation_xyz
'x,y,z'
loop_
_atom_site_label
_atom_site_type_symbol
_atom_site_fract_x
_atom_site_fract_y
_atom_site_fract_z
In1 In 0.500 0.500 0.500
Li1 Li 0.000 0.000 0.500
Li2 Li 0.500 0.000 0.000
Ba1 Ba 0.000 0.000 0.000
H1 H 0.000 0.500 0.000

***

11.
# KH2PtCl8, relaxed, DFT GGA-PBE
# - D(E_F) (states/eV per cell) = 8.8
# - raw total energy (eV per atom) = -3.030
# - calculated density (g cm⁻³) = 2.544
data_KH2PtCl8
_space_group_name_H-M_alt 'P 1'
_space_group_IT_number 1
_cell_length_a 6.144
_cell_length_b 6.838
_cell_length_c 8.806
_cell_angle_alpha 99.68
_cell_angle_beta 88.13
_cell_angle_gamma 69.19
loop_
_space_group_symop_operation_xyz
'x,y,z'
loop_
_atom_site_label
_atom_site_type_symbol
_atom_site_fract_x
_atom_site_fract_y
_atom_site_fract_z
H1 H 0.268 0.443 0.666
H2 H 0.732 0.557 0.334
Pt1 Pt 0.000 0.000 0.000
Cl1 Cl 0.768 0.227 0.224
Cl2 Cl 0.809 0.253 0.851
Cl3 Cl 0.273 0.161 0.040
Cl4 Cl 0.191 0.747 0.149
Cl5 Cl 0.662 0.712 0.455
Cl6 Cl 0.727 0.839 0.960
Cl7 Cl 0.338 0.288 0.545
Cl8 Cl 0.232 0.773 0.776
K1 K 0.000 0.000 0.500

***

12.
# CoSbTe2, relaxed, DFT GGA-PBE
# - E_form (uncorrected) (eV/atom) = 0.3392
# - D(E_F) (states/eV per cell) = 3.0
# - raw total energy (eV per atom) = -4.039
# - calculated density (g cm⁻³) = 7.019
data_CoSbTe2
_space_group_name_H-M_alt 'P 1'
_space_group_IT_number 1
_cell_length_a 5.120
_cell_length_b 5.120
_cell_length_c 5.115
_cell_angle_alpha 71.05
_cell_angle_beta 71.05
_cell_angle_gamma 110.57
loop_
_space_group_symop_operation_xyz
'x,y,z'
loop_
_atom_site_label
_atom_site_type_symbol
_atom_site_fract_x
_atom_site_fract_y
_atom_site_fract_z
Sb1 Sb 0.000 0.500 0.500
Te1 Te 0.500 0.500 0.000
Te2 Te 0.000 0.000 0.000
Co1 Co 0.500 0.000 0.500

***

13.
# La5PrSm2Y, relaxed, DFT GGA-PBE
# - ΔH_f (0 K) (eV per atom) = 0.27
# - D(E_F) (states/eV per cell) = 33.0
# - raw total energy (eV per atom) = -4.769
# - calculated density (g cm⁻³) = 6.222
data_La5PrSm2Y
_space_group_name_H-M_alt 'P 1'
_space_group_IT_number 1
_cell_length_a 9.442
_cell_length_b 9.442
_cell_length_c 9.919
_cell_angle_alpha 118.42
_cell_angle_beta 118.42
_cell_angle_gamma 90.00
loop_
_space_group_symop_operation_xyz
'x,y,z'
loop_
_atom_site_label
_atom_site_type_symbol
_atom_site_fract_x
_atom_site_fract_y
_atom_site_fract_z
Sm1 Sm 0.610 0.110 0.000
Sm2 Sm 0.890 0.610 0.000
Sm3 Sm 0.390 0.890 0.000
Sm4 Sm 0.110 0.390 0.000
La1 La 0.341 0.841 0.270
La2 La 0.429 0.341 0.270
La3 La 0.929 0.429 0.270
La4 La 0.659 0.159 0.730
La5 La 0.500 0.500 0.000
La6 La 0.000 0.000 0.000
La7 La 0.841 0.929 0.270
La8 La 0.571 0.659 0.730
La9 La 0.159 0.071 0.730
La10 La 0.071 0.571 0.730
Pr1 Pr 0.750 0.750 0.500
Pr2 Pr 0.250 0.250 0.500
Y1 Y 0.250 0.750 0.500
Y2 Y 0.750 0.250 0.500

***

14.
# Ir2PtBr, relaxed, DFT GGA-PBE
# - E_form (uncorrected) (eV/atom) = 0.5734
# - D(E_F) (states/eV per cell) = 4.0
# - offset from the most stable computed form (meV per atom) = 71
# - raw total energy (eV per atom) = -5.786
# - calculated density (g cm⁻³) = 12.975
data_Ir2PtBr
_space_group_name_H-M_alt 'P 1'
_space_group_IT_number 1
_cell_length_a 4.657
_cell_length_b 4.657
_cell_length_c 8.236
_cell_angle_alpha 55.47
_cell_angle_beta 55.47
_cell_angle_gamma 36.04
loop_
_space_group_symop_operation_xyz
'x,y,z'
loop_
_atom_site_label
_atom_site_type_symbol
_atom_site_fract_x
_atom_site_fract_y
_atom_site_fract_z
Ir1 Ir 0.561 0.561 0.591
Ir2 Ir 0.939 0.939 0.909
Pt1 Pt 0.750 0.750 0.750
Br1 Br 0.250 0.250 0.250

***

15.
# MgTlGe, relaxed, DFT GGA-PBE
# - ΔH_f (0 K) (eV per atom) = 0.00
# - D(E_F) (states/eV per cell) = 2.6
# - offset from the most stable computed form (meV per atom) = 14
# - raw total energy (eV per atom) = -2.859
# - calculated density (g cm⁻³) = 6.841
data_MgTlGe
_space_group_name_H-M_alt 'P 1'
_space_group_IT_number 1
_cell_length_a 3.309
_cell_length_b 4.119
_cell_length_c 10.735
_cell_angle_alpha 90.14
_cell_angle_beta 90.46
_cell_angle_gamma 89.98
loop_
_space_group_symop_operation_xyz
'x,y,z'
loop_
_atom_site_label
_atom_site_type_symbol
_atom_site_fract_x
_atom_site_fract_y
_atom_site_fract_z
Tl1 Tl 0.066 0.562 0.699
Tl2 Tl 0.576 0.062 0.941
Mg1 Mg 0.649 0.062 0.238
Mg2 Mg 0.153 0.563 0.401
Ge1 Ge 0.142 0.562 0.131
Ge2 Ge 0.649 0.064 0.508

***

16.
# BaSc2Al, relaxed, DFT GGA-PBE
# - ΔH_f (0 K) (eV per atom) = 0.08
# - D(E_F) (states/eV per cell) = 5.6
# - raw total energy (eV per atom) = -4.501
# - calculated density (g cm⁻³) = 3.683
data_BaSc2Al
_space_group_name_H-M_alt 'P 1'
_space_group_IT_number 1
_cell_length_a 6.540
_cell_length_b 6.540
_cell_length_c 5.809
_cell_angle_alpha 63.64
_cell_angle_beta 63.64
_cell_angle_gamma 31.32
loop_
_space_group_symop_operation_xyz
'x,y,z'
loop_
_atom_site_label
_atom_site_type_symbol
_atom_site_fract_x
_atom_site_fract_y
_atom_site_fract_z
Sc1 Sc 0.041 0.041 0.959
Sc2 Sc 0.459 0.459 0.541
Ba1 Ba 0.250 0.250 0.250
Al1 Al 0.750 0.750 0.750

***

17.
# CaMgSi2, relaxed, DFT GGA-PBE
# - E_form (uncorrected) (eV/atom) = -0.0463
# - D(E_F) (states/eV per cell) = 1.5
# - raw total energy (eV per atom) = -3.657
# - calculated density (g cm⁻³) = 2.522
data_CaMgSi2
_space_group_name_H-M_alt 'P 1'
_space_group_IT_number 1
_cell_length_a 6.842
_cell_length_b 5.152
_cell_length_c 3.137
_cell_angle_alpha 89.92
_cell_angle_beta 62.84
_cell_angle_gamma 121.67
loop_
_space_group_symop_operation_xyz
'x,y,z'
loop_
_atom_site_label
_atom_site_type_symbol
_atom_site_fract_x
_atom_site_fract_y
_atom_site_fract_z
Ca1 Ca 0.000 0.500 0.500
Si1 Si 0.000 0.000 0.000
Si2 Si 0.500 0.000 0.500
Mg1 Mg 0.500 0.500 0.000

***

18.
# TaPtPb, relaxed, DFT GGA-PBE
# - ΔH_f (0 K) (eV per atom) = 0.11
# - D(E_F) (states/eV per cell) = 2.5
# - raw total energy (eV per atom) = -7.089
# - calculated density (g cm⁻³) = 15.776
data_TaPtPb
_space_group_name_H-M_alt 'P 1'
_space_group_IT_number 1
_cell_length_a 3.135
_cell_length_b 3.135
_cell_length_c 7.213
_cell_angle_alpha 90.00
_cell_angle_beta 90.00
_cell_angle_gamma 120.00
loop_
_space_group_symop_operation_xyz
'x,y,z'
loop_
_atom_site_label
_atom_site_type_symbol
_atom_site_fract_x
_atom_site_fract_y
_atom_site_fract_z
Pb1 Pb 0.000 0.000 0.001
Pt1 Pt 0.667 0.333 0.361
Ta1 Ta 0.333 0.667 0.638